# PmSmDy2Er

A geometry-optimized PmSmDy2Er structure (PBE, Alexandria via LeMat-Bulk).

Cell and atoms, written as CIF:
```
data_PmSmDy2Er
_chemical_formula_sum 'Pm4 Sm4 Dy8 Er4'
_symmetry_space_group_name_H-M 'C m c m'
_symmetry_Int_Tables_number 63
_symmetry_space_group_name_Hall '-C 2c 2'
_cell_length_a 6.4093
_cell_length_b 16.6197
_cell_length_c 6.4036
_cell_angle_alpha 90.00
_cell_angle_beta 90.00
_cell_angle_gamma 90.00
loop_
_atom_site_label
_atom_site_type_symbol
_atom_site_fract_x
_atom_site_fract_y
_atom_site_fract_z
_atom_site_occupancy
Pm1 Pm 0.0000 0.1578 0.2500 1
Sm1 Sm 0.0000 0.3427 0.2500 1
Dy1 Dy 0.2495 0.0000 0.0000 1
Er1 Er 0.0000 0.2474 0.7500 1
```

Output
Crystal system = orthorhombic
D(E_F) = 1.678 states/eV per atom
ΔE_f = 1.8 eV per formula unit